16
Lattice="8.530 0.000 0.000 0.000 9.590 0.741 -4.265 -4.261 6.034" Properties=species:S:1:pos:R:3 comment="La8CuOs3I4 (PBE-GGA, optimized geometry)" formation_energy_uncorrected_mev_per_atom=-711 total_magnetization_mub_per_cell=0.000 sg="No. 166" dos_at_fermi_per_ev_atom=0.45 pbc="T T T"
La -2.028 2.522 6.229
La 0.000 4.551 3.361
La 0.000 0.685 3.495
La 2.028 2.522 6.229
La 2.237 2.806 0.546
La 4.265 4.643 3.280
La 4.265 0.778 3.414
La 6.294 2.806 0.546
Cu 0.000 4.795 0.371
Os 4.265 4.795 0.371
Os 2.133 2.664 3.388
Os -2.133 2.664 3.388
I 4.265 0.000 0.000
I 2.133 -2.131 3.017
I 0.000 0.000 0.000
I -2.133 -2.131 3.017